# TlCdTe PBE relaxed
# - Formation energy without anion corrections: -69 meV/atom
# - Total magnetic moment: 0.0 Bohr magnetons per cell
# - Relative energy among the computed polymorphs: 0.151 eV per atom
data_TlCdTe
_cell_length_a 6.327
_cell_length_b 6.327
_cell_length_c 6.327
_cell_angle_alpha 142.37
_cell_angle_beta 142.37
_cell_angle_gamma 54.27
_space_group_name_H-M_alt 'P 1'
_space_group_IT_number 1
_space_group_name_Hall 'P 1'
loop_
_atom_site_label
_atom_site_fract_x
_atom_site_fract_y
_atom_site_fract_z
Tl1 0.671 0.671 0.000
Te1 0.363 0.363 0.000
Cd1 0.966 0.966 0.000

=====

# AcScPdRu PBE relaxed
# - Formation enthalpy at 0 K: -9.0 kcal/mol of atoms
# - Total magnetic moment: 0.0 Bohr magnetons per cell
data_AcScPdRu
_cell_length_a 4.967
_cell_length_b 4.967
_cell_length_c 4.967
_cell_angle_alpha 60.00
_cell_angle_beta 60.00
_cell_angle_gamma 60.00
_space_group_name_H-M_alt 'P 1'
_space_group_IT_number 1
_space_group_name_Hall 'P 1'
loop_
_atom_site_label
_atom_site_fract_x
_atom_site_fract_y
_atom_site_fract_z
Sc1 0.500 0.500 0.500
Ru1 0.750 0.750 0.750
Ac1 0.000 0.000 0.000
Pd1 0.250 0.250 0.250

=====

Number 1: final energy -2.21 eV/atom. Number 2: final energy -6.62 eV/atom.